1.
A plane-wave DFT calculation with SCAN was carried out for ZnCoCl2 at its PBEsol-relaxed geometry.

Summary:
Raw formation energy in eV/atom: -0.13
D(E_F) in states/eV/f.u.: 0.9
Volume in Å³ per cell: 69.0

abc: 3.232 3.232 6.606
angles: 90.00 90.00 90.00
Positions (direct):
Zn  0.500  0.500  0.706
Co  0.000  0.000  0.558
Cl  0.500  0.500  0.336
Cl  0.000  0.000  0.900

=====

2.
A plane-wave DFT calculation with SCAN was carried out for KLaIn at its PBEsol-relaxed geometry.

Summary:
E in eV/atom: -28.359
D(E_F) in states/eV/f.u.: 2.4
Volume in Å³ per cell: 90.1

abc: 3.197 5.705 5.705
angles: 120.00 90.00 90.00
Positions (direct):
In  0.000  0.000  0.000
K  0.498  0.333  0.667
La  0.502  0.667  0.333

=====

3.
A plane-wave DFT calculation with SCAN was carried out for MnPIr3 at its PBEsol-relaxed geometry.

Summary:
E in eV/atom: -48.049
D(E_F) in states/eV/f.u.: 1.3
Volume in Å³ per cell: 82.0

abc: 4.345 4.345 4.345
angles: 90.00 90.00 90.00
Positions (direct):
Ir  0.000  0.000  0.500
P  0.000  0.000  0.000
Ir  0.500  0.000  0.000
Mn  0.500  0.500  0.500
Ir  0.000  0.500  0.000

=====

4.
A plane-wave DFT calculation with SCAN was carried out for MgTc2W at its PBEsol-relaxed geometry.

Summary:
E in eV/atom: -36.059
D(E_F) in states/eV/f.u.: 3.5
Volume in Å³ per cell: 59.3

abc: 3.081 4.387 4.387
angles: 90.00 90.00 90.00
Positions (direct):
Tc  0.000  0.000  0.500
W  0.500  0.500  0.500
Mg  0.500  0.000  0.000
Tc  0.000  0.500  0.000

=====

5.
A plane-wave DFT calculation with SCAN was carried out for SrLa2Si at its PBEsol-relaxed geometry.

Summary:
Raw formation energy in eV/atom: -0.21
D(E_F) in states/eV/f.u.: 3.1
Volume in Å³ per cell: 124.3

abc: 3.996 3.996 7.786
angles: 90.00 90.00 90.00
Positions (direct):
La  0.000  0.000  0.069
La  0.500  0.500  0.281
Si  0.000  0.000  0.452
Sr  0.500  0.500  0.699

=====

6.
A plane-wave DFT calculation with SCAN was carried out for LaAsIr2 at its PBEsol-relaxed geometry.

Summary:
E in eV/atom: -51.602
D(E_F) in states/eV/f.u.: 1.6
Volume in Å³ per cell: 72.7

abc: 4.018 4.253 4.253
angles: 90.00 90.00 90.00
Positions (direct):
Ir  0.000  0.000  0.500
As  0.500  0.000  0.000
La  0.500  0.500  0.500
Ir  0.000  0.500  0.000

=====

7.
A plane-wave DFT calculation with SCAN was carried out for NaPH2OF6 at its PBEsol-relaxed geometry.

Summary:
E in eV/atom: -6.846
D(E_F) in states/eV/f.u.: 0.0
Volume in Å³ per cell: 516.6

abc: 6.063 7.979 10.679
angles: 90.00 90.00 90.00
Positions (direct):
H  0.426  0.997  0.824
F  0.499  0.630  0.118
F  0.734  0.016  0.012
F  0.499  0.370  0.382
F  0.028  0.844  0.404
F  0.028  0.156  0.096
H  0.074  0.503  0.824
O  0.023  0.500  0.250
F  0.234  0.516  0.988
H  0.926  0.497  0.176
F  0.001  0.130  0.382
P  0.500  0.500  0.500
Na  0.750  0.750  0.748
H  0.926  0.503  0.324
F  0.766  0.484  0.012
F  0.472  0.344  0.096
F  0.528  0.656  0.904
P  0.500  0.500  0.000
Na  0.250  0.750  0.248
F  0.766  0.516  0.488
P  0.000  0.000  0.000
F  0.501  0.630  0.618
F  0.528  0.344  0.596
F  0.972  0.844  0.904
F  0.999  0.130  0.882
F  0.501  0.370  0.882
F  0.999  0.870  0.618
O  0.523  0.000  0.750
F  0.972  0.156  0.596
F  0.734  0.984  0.488
O  0.977  0.500  0.750
F  0.001  0.870  0.118
Na  0.750  0.250  0.752
H  0.426  0.003  0.676
O  0.477  0.000  0.250
F  0.266  0.984  0.988
F  0.234  0.484  0.512
F  0.472  0.656  0.404
H  0.074  0.497  0.676
H  0.574  0.997  0.324
Na  0.250  0.250  0.252
F  0.266  0.016  0.512
H  0.574  0.003  0.176
P  0.000  0.000  0.500

=====

8.
A plane-wave DFT calculation with SCAN was carried out for FeSb2Ir at its PBEsol-relaxed geometry.

Summary:
Raw formation energy in eV/atom: -0.17
D(E_F) in states/eV/f.u.: 2.2
Volume in Å³ per cell: 72.8

abc: 4.051 4.051 5.121
angles: 90.00 90.00 120.00
Positions (direct):
Sb  0.667  0.333  0.238
Fe  0.000  0.000  0.000
Sb  0.333  0.667  0.762
Ir  0.000  0.000  0.500

=====

9.
A plane-wave DFT calculation with SCAN was carried out for LaGa2Ir2 at its PBEsol-relaxed geometry.

Summary:
E in eV/atom: -44.417
D(E_F) in states/eV/f.u.: 3.8
Volume in Å³ per cell: 94.2

abc: 4.191 4.191 6.126
angles: 110.01 110.01 90.00
Positions (direct):
Ga  0.750  0.250  0.500
Ir  0.617  0.617  0.235
Ir  0.383  0.383  0.765
La  0.000  0.000  0.000
Ga  0.250  0.750  0.500

=====

10.
A plane-wave DFT calculation with SCAN was carried out for Mg2ZnIn at its PBEsol-relaxed geometry.

Summary:
E in eV/atom: -14.237
D(E_F) in states/eV/f.u.: 1.3
Volume in Å³ per cell: 82.4

abc: 3.124 3.124 8.440
angles: 90.00 90.00 90.00
Positions (direct):
Mg  0.500  0.500  0.276
Zn  0.000  0.000  0.492
Mg  0.000  0.000  0.002
In  0.500  0.500  0.730

=====

11.
A plane-wave DFT calculation with SCAN was carried out for MgSi2Tc at its PBEsol-relaxed geometry.

Summary:
Raw formation energy in eV/atom: 0.05
D(E_F) in states/eV/f.u.: 2.2
Volume in Å³ per cell: 59.8

abc: 2.803 4.310 4.953
angles: 90.00 89.98 90.00
Positions (direct):
Si  0.500  0.000  0.750
Tc  0.500  0.500  0.000
Si  0.500  0.000  0.250
Mg  0.000  0.500  0.500

=====

12.
A plane-wave DFT calculation with SCAN was carried out for Li2GeF6 at its PBEsol-relaxed geometry.

Summary:
Raw formation energy in eV/atom: -2.90
D(E_F) in states/eV/f.u.: 0.0
Volume in Å³ per cell: 183.8

abc: 4.571 4.571 8.799
angles: 90.00 90.00 90.00
Positions (direct):
Li  0.000  0.000  0.662
F  0.191  0.809  0.849
Li  0.500  0.500  0.838
F  0.218  0.782  0.500
Li  0.500  0.500  0.162
Ge  0.000  0.000  0.000
F  0.809  0.191  0.151
F  0.691  0.691  0.651
Ge  0.500  0.500  0.500
F  0.282  0.282  0.000
F  0.809  0.191  0.849
F  0.691  0.691  0.349
Li  0.000  0.000  0.338
F  0.782  0.218  0.500
F  0.309  0.309  0.651
F  0.309  0.309  0.349
F  0.191  0.809  0.151
F  0.718  0.718  0.000